VASP calculation (PBE) on MnMoAs after structural relaxation.

Geometry as POSCAR:
```
MnMoAs
1.0
-2.219 2.921 -1.798
1.948 -2.778 -2.275
-2.295 -1.686 0.093
Mn As Mo
1 1 1
Direct
0.333 0.667 0.166
0.000 0.000 0.167
0.667 0.333 0.667
```

Calculated values
Fermi-level density of states = 1.7 states/eV/cell
ΔH_f (0 K) = -20.3 meV per atom
Total DFT energy (no corrections) = -8.237 eV per atom
Volume = 41.2 Å³/cell



VASP calculation (PBE) on NaV2ReIr after structural relaxation.

Geometry as POSCAR:
```
NaV2ReIr
1.0
-2.339 -0.544 3.946
1.736 -4.523 0.405
3.626 1.604 2.371
Ir Re Na V
1 1 1 2
Direct
0.000 0.500 0.000
0.000 0.000 0.000
0.500 0.500 0.500
0.500 0.000 0.000
0.000 0.000 0.500
```

Calculated values
Fermi-level density of states = 7.5 states/eV/cell
ΔH_f (0 K) = 1116.4 meV per atom
Total DFT energy (no corrections) = -7.057 eV per atom
Volume = 103.8 Å³/cell